Below is a relaxed RhIBrN2 crystal, with properties calculated at the PBE level.

Computed properties:
density of states at the Fermi level = 0.6694 states/eV per atom
polymorph energy (0 for the lowest one) = 0 meV per atom
mass density = 4.4 g cm⁻³

abc: 3.915 3.915 8.341
angles: 90.00 90.00 90.00
Site moments in Bohr magnetons follow the coordinates.
Atoms (fractional coordinates):
I1 0.000 0.000 0.500  0.00
Rh1 0.000 0.000 0.000  -0.05
Br1 0.500 0.500 0.500  0.00
N1 0.000 0.500 0.000  0.15
N2 0.500 0.000 0.000  0.15